[1]
{"formula": "CuTc4Rh", "functional": "PBE", "state": "optimized geometry", "lattice": [[0.0000, 3.5791, 3.5791], [3.5791, 0.0000, 3.5791], [3.5791, 3.5791, 0.0000]], "species": ["Cu", "Tc", "Tc", "Tc", "Tc", "Rh"], "fractional_positions": [[0.2500, 0.2500, 0.2500], [0.6247, 0.6247, 0.1260], [0.6247, 0.1260, 0.6247], [0.6247, 0.6247, 0.6247], [0.1260, 0.6247, 0.6247], [0.0000, 0.0000, 0.0000]], "spacegroup": "F-43m, No. 216", "formation_enthalpy_0k_ev_per_atom": 0.452, "e_tot_ev_per_atom": -8.3662, "total_magnetization_mub_per_fu": 0.000}

***

[2]
{"formula": "KMnSi2", "functional": "PBE", "state": "optimized geometry", "lattice": [[0.0000, 3.2122, 3.2122], [3.2122, 0.0000, 3.2122], [3.2122, 3.2122, 0.0000]], "species": ["K", "Mn", "Si", "Si"], "fractional_positions": [[0.0000, 0.0000, 0.0000], [0.5000, 0.5000, 0.5000], [0.2500, 0.2500, 0.2500], [0.7500, 0.7500, 0.7500]], "spacegroup": "Fm-3m, No. 225", "e_form_raw_ev_per_atom": 1.02, "e_tot_ev_per_atom": -4.2625, "de_polymorph_mev_per_atom": 939.3, "total_magnetization_mub_per_fu": 0.000}

***

[3]
{"formula": "La2TiIn2", "functional": "PBE", "state": "optimized geometry", "lattice": [[-6.4050, -3.9449, 1.8177], [2.8466, -1.3661, 7.0655], [-2.0753, 4.1219, 1.6331]], "species": ["In", "In", "In", "In", "Ti", "Ti", "La", "La", "La", "La"], "fractional_positions": [[0.3625, 0.8625, 0.0000], [0.8625, 0.6375, 0.0000], [0.6375, 0.1375, 0.0000], [0.1375, 0.3625, 0.0000], [0.0000, 0.0000, 0.0000], [0.5000, 0.5000, 0.0000], [0.1693, 0.6693, 0.5000], [0.6693, 0.8307, 0.5000], [0.8307, 0.3307, 0.5000], [0.3307, 0.1693, 0.5000]], "spacegroup": "P4/mbm, No. 127", "formation_enthalpy_0k_ev_per_atom": -0.156, "e_tot_ev_per_atom": -4.8011, "total_magnetization_mub_per_fu": 0.000}